(1)
Density functional theory data (PBE) for an optimized crystal structure of CaErGa.

Properties
DFT formation energy, meV/atom: 340
M_tot, Bohr magnetons per cell: 0.0
SG: I4mm (107)
Final energy, eV per atom: -2.858

Cell: 9.1780 9.1780 9.1780 Å, 159.27 159.27 29.48°
Fractional coordinates of all 3 atoms:
Ca  0.0000  0.0000  0.0000
Er  0.6597  0.6597  0.0000
Ga  0.8249  0.8249  0.0000

***

(2)
Density functional theory data (PBE) for an optimized crystal structure of ScTl3.

Properties
DFT formation energy, meV/atom: 21
M_tot, Bohr magnetons per cell: 0.0
SG: Cmmm (65)
Final energy, eV per atom: -3.337

Cell: 3.4070 3.4070 10.7333 Å, 90.00 90.00 116.59°
Fractional coordinates of all 4 atoms:
Sc  0.0000  0.0000  0.0000
Tl  0.0000  0.0000  0.5000
Tl  0.5000  0.5000  0.2330
Tl  0.5000  0.5000  0.7670

***

(3)
Density functional theory data (PBE) for an optimized crystal structure of RuC3.

Properties
DFT formation energy, meV/atom: 2108
M_tot, Bohr magnetons per cell: 0.0
SG: P6_3/mmc (194)
Final energy, eV per atom: -7.129

Cell: 4.0031 4.0031 17.5395 Å, 90.00 90.00 120.00°
Fractional coordinates of all 16 atoms:
Ru  0.0000  0.0000  0.0000
Ru  0.0000  0.0000  0.5000
Ru  0.3333  0.6667  0.2500
Ru  0.6667  0.3333  0.7500
C  0.0000  0.5000  0.0000
C  0.0000  0.5000  0.5000
C  0.1204  0.2409  0.7500
C  0.1204  0.8796  0.7500
C  0.2409  0.1204  0.2500
C  0.5000  0.0000  0.0000
C  0.5000  0.0000  0.5000
C  0.5000  0.5000  0.0000
C  0.5000  0.5000  0.5000
C  0.7591  0.8796  0.7500
C  0.8796  0.1204  0.2500
C  0.8796  0.7591  0.2500

***

(4)
Density functional theory data (PBE) for an optimized crystal structure of CrTcBr2.

Properties
M_tot, Bohr magnetons per cell: 8.0
SG: Cmmm (65)
Final energy, eV per atom: -5.080

Cell: 3.6142 3.6142 8.4527 Å, 90.00 90.00 124.05°
Fractional coordinates of all 4 atoms:
Cr  0.0000  0.0000  0.0000
Tc  0.0000  0.0000  0.5000
Br  0.5000  0.5000  0.2381
Br  0.5000  0.5000  0.7619